No. 1
A relaxed Be23Nb6 crystal. Source: Alexandria, functional GGA-PBE.

ΔE_f in eV/atom: -0.2027
Volume in Å³/atom: 10.08
Theoretical density in g cm⁻³: 4.342
Total magnetic moment in μB/cell: 0.0

```
Be23Nb6
1.0
0.000 5.268 5.268
5.268 0.000 5.268
5.268 5.268 0.000
Be Nb
23 6
direct
0.000 0.000 0.000
0.000 0.000 0.500
0.000 0.500 0.000
0.000 0.500 0.500
0.030 0.323 0.323
0.123 0.123 0.123
0.123 0.123 0.630
0.123 0.630 0.123
0.323 0.030 0.323
0.323 0.323 0.030
0.323 0.323 0.323
0.370 0.877 0.877
0.500 0.000 0.000
0.500 0.000 0.500
0.500 0.500 0.000
0.630 0.123 0.123
0.677 0.677 0.677
0.677 0.677 0.970
0.677 0.970 0.677
0.877 0.370 0.877
0.877 0.877 0.370
0.877 0.877 0.877
0.970 0.677 0.677
0.303 0.303 0.697
0.303 0.697 0.303
0.303 0.697 0.697
0.697 0.303 0.303
0.697 0.303 0.697
0.697 0.697 0.303
```


No. 2
A relaxed Mn2InNiC crystal. Source: Alexandria, functional GGA-PBE.

ΔE_f in eV/atom: -0.0041
Volume in Å³/atom: 12.08
Theoretical density in g cm⁻³: 8.123
Total magnetic moment in μB/cell: 3.9

```
Mn2InNiC
1.0
3.896 0.000 0.000
0.000 3.896 0.000
0.000 0.000 3.977
Mn In Ni C
2 1 1 1
direct
0.000 0.500 0.000
0.500 0.000 0.000
0.000 0.000 0.500
0.500 0.500 0.500
0.500 0.500 0.000
```


No. 3
A relaxed ScCoBr2 crystal. Source: Alexandria, functional GGA-PBE.

E_form (uncorrected) in eV per atom: -0.22
Volume in Å³/atom: 21.56
Theoretical density in g cm⁻³: 5.077
Total magnetic moment in μB/cell: 0.0
ΔE to the lowest computed polymorph in eV per formula unit: 1.75

```
ScCoBr2
1.0
-2.379 2.379 7.617
2.379 -2.379 7.617
2.379 2.379 -7.617
Sc Co Br
2 2 4
direct
0.000 0.000 0.000
0.750 0.250 0.500
0.250 0.750 0.500
0.500 0.500 0.000
0.154 0.625 0.029
0.375 0.404 0.529
0.596 0.125 0.971
0.875 0.846 0.471
```


No. 4
A relaxed Nb4ReMo crystal. Source: Alexandria, functional GGA-PBE.

ΔE_f in eV/atom: 0.4956
Volume in Å³/atom: 20.29
Theoretical density in g cm⁻³: 8.918
Total magnetic moment in μB/cell: 0.0
ΔE to the lowest computed polymorph in eV per formula unit: 4.10

```
Nb4ReMo
1.0
4.411 0.000 0.000
0.000 4.411 0.000
0.000 0.000 6.255
Nb Re Mo
4 1 1
direct
0.000 0.500 0.249
0.000 0.500 0.751
0.500 0.000 0.249
0.500 0.000 0.751
0.000 0.000 0.000
0.500 0.500 0.500
```


No. 5
A relaxed SrLi2Tl2In crystal. Source: Alexandria, functional GGA-PBE.

ΔE_f in eV/atom: -0.2919
Volume in Å³/atom: 25.72
Theoretical density in g cm⁻³: 6.727
Total magnetic moment in μB/cell: 0.0

```
SrLi2Tl2In
1.0
4.929 0.000 0.000
-2.465 4.269 0.000
0.000 0.000 7.333
Sr Li Tl In
1 2 2 1
direct
0.000 0.000 0.000
0.333 0.667 0.652
0.667 0.333 0.348
0.333 0.667 0.255
0.667 0.333 0.745
0.000 0.000 0.500
```


No. 6
A relaxed Sc8Tl2Bi crystal. Source: Alexandria, functional GGA-PBE.

ΔE_f in eV/atom: -0.1270
Volume in Å³/atom: 25.05
Theoretical density in g cm⁻³: 5.891
Total magnetic moment in μB/cell: 1.3

```
Sc8Tl2Bi
1.0
4.090 -6.840 0.000
4.090 6.840 0.000
-2.251 0.000 4.924
Sc Tl Bi
8 2 1
direct
0.097 0.323 0.637
0.223 0.777 0.000
0.323 0.097 0.637
0.411 0.411 0.203
0.589 0.589 0.797
0.677 0.903 0.363
0.777 0.223 0.000
0.903 0.677 0.363
0.305 0.695 0.500
0.695 0.305 0.500
0.000 0.000 0.000
```